Here is a geometry-optimized TbIn3Sn3 structure from the Alexandria database. Energies are from PBE-GGA.

Structure (POSCAR):
```
TbIn3Sn3
1.0
6.7179 0.6753 0.1151
0.6906 6.7163 0.1151
0.1797 0.1793 8.8590
Tb Sn In
2 6 6
Direct
0.2308 0.2308 0.9564
0.7692 0.7692 0.0436
0.0834 0.4561 0.2671
0.4561 0.0834 0.2671
0.9166 0.5439 0.7329
0.0097 0.0097 0.2345
0.9903 0.9903 0.7655
0.5439 0.9166 0.7329
0.7018 0.2982 0.0000
0.6794 0.6794 0.4274
0.7810 0.2190 0.5000
0.3206 0.3206 0.5726
0.2190 0.7810 0.5000
0.2982 0.7018 0.0000
```

Computed properties:
* density of states at the Fermi level: 6.23 states/eV/cell
* energy of formation: -0.13 eV per atom
* spin magnetization: 0.000 Bohr magnetons per cell
* SG: C2/m (12)
* electronic total energy: -3.684 eV per atom


Here is a geometry-optimized Pm6Dy4Th structure from the Alexandria database. Energies are from PBE-GGA.

Structure (POSCAR):
```
Pm6Dy4Th
1.0
5.8715 0.0000 0.0000
-2.9357 4.8411 0.0000
0.0000 0.0000 25.8234
Dy Pm Th
8 12 2
Direct
0.1490 0.2981 0.4575
0.8510 0.7019 0.5425
0.1490 0.2981 0.0425
0.4484 0.8967 0.1232
0.5516 0.1033 0.6232
0.5516 0.1033 0.8768
0.4484 0.8967 0.3768
0.8510 0.7019 0.9575
0.7944 0.5887 0.3992
0.7944 0.5887 0.1008
0.1150 0.2301 0.1816
0.8850 0.7699 0.8184
0.5000 0.0000 0.5000
0.2056 0.4113 0.6008
0.5575 0.1151 0.7500
0.5000 0.0000 0.0000
0.8850 0.7699 0.6816
0.4425 0.8849 0.2500
0.2056 0.4113 0.8992
0.1150 0.2301 0.3184
0.7834 0.5668 0.2500
0.2166 0.4332 0.7500
```

Computed properties:
* density of states at the Fermi level: 38.54 states/eV/cell
* energy of formation: 0.14 eV per atom
* spin magnetization: 0.000 Bohr magnetons per cell
* SG: Cmcm (63)
* electronic total energy: -4.796 eV per atom


Here is a geometry-optimized GaNi2As2 structure from the Alexandria database. Energies are from PBE-GGA.

Structure (POSCAR):
```
GaNi2As2
1.0
-0.2771 -2.2535 -6.7855
7.1365 -0.5037 -0.1241
-0.1800 -2.7797 0.9305
Ga As Ni
2 4 4
Direct
0.0000 0.0000 0.0000
0.5000 0.5000 0.0000
0.8416 0.3416 0.5000
0.6584 0.8416 0.5000
0.1584 0.6584 0.5000
0.3416 0.1584 0.5000
0.1280 0.3720 0.0000
0.3720 0.8720 0.0000
0.6280 0.1280 0.0000
0.8720 0.6280 0.0000
```

Computed properties:
* density of states at the Fermi level: 5.64 states/eV/cell
* energy of formation: -0.02 eV per atom
* spin magnetization: 0.000 Bohr magnetons per cell
* E above lowest polymorph: 0 meV/atom
* SG: P4/mbm (127)
* electronic total energy: -4.797 eV per atom


Here is a geometry-optimized Y2MgCl structure from the Alexandria database. Energies are from PBE-GGA.

Structure (POSCAR):
```
Y2MgCl
1.0
3.4357 -0.0113 0.0000
-1.3830 3.1451 0.0000
0.0000 0.0000 9.8588
Cl Y Mg
1 2 1
Direct
0.5000 0.5000 0.2500
0.0000 0.0000 0.0183
0.0000 0.0000 0.4817
0.5000 0.5000 0.7500
```

Computed properties:
* density of states at the Fermi level: 3.68 states/eV/cell
* spin magnetization: 0.000 Bohr magnetons per cell
* formation energy (no corrections): -2.10 eV per formula unit
* E above lowest polymorph: 123 meV/atom
* SG: Cmmm (65)
* electronic total energy: -4.617 eV per atom


Among the records above, which one has the highest electronic total energy?
TbIn3Sn3